Density functional theory data (PBE) for a relaxed AgHgSe2 crystal.

DOS at the Fermi energy = 1.97 states/eV per cell
formation energy without anion corrections = 0.6 eV/f.u.
calculated total energy = -2.377 eV/atom
size of the total moment = 0.00 μB/f.u.

Structure (POSCAR):
```
AgHgSe2
1.0
1.964 -2.185 0.000
1.964 2.185 0.000
0.000 0.000 10.885
Ag Hg Se
1 1 2
Direct
0.000 0.000 0.000
0.000 0.000 0.500
0.500 0.500 0.202
0.500 0.500 0.798
```